Entry from Alexandria via LeMat-Bulk: a geometry-optimized HIF structure (PBE).

Cell and atoms, written as POSCAR:
```
HIF
1.0
-1.470 0.601 -2.519
2.310 -1.836 -1.994
-3.723 -5.622 0.816
I F H
1 1 1
Direct
0.044 0.753 0.882
0.574 0.279 0.381
0.873 0.358 0.380
```

Summary:
electronic total energy: -0.2355 Ry per atom
energy relative to the lowest polymorph listed for this composition: 0.0886 eV per atom



Entry from Alexandria via LeMat-Bulk: a geometry-optimized HIF3 structure (PBE).

Cell and atoms, written as POSCAR:
```
HIF3
1.0
5.742 0.000 0.000
0.000 7.213 0.557
0.000 -2.706 8.147
F H I
12 4 4
Direct
0.168 0.434 0.259
0.668 0.498 0.357
0.832 0.566 0.741
0.963 0.702 0.039
0.668 0.066 0.241
0.832 0.998 0.857
0.463 0.798 0.461
0.332 0.502 0.643
0.332 0.934 0.759
0.168 0.002 0.143
0.037 0.298 0.961
0.537 0.202 0.539
0.922 0.112 0.909
0.078 0.888 0.091
0.422 0.388 0.591
0.578 0.612 0.409
0.133 0.892 0.567
0.867 0.108 0.433
0.633 0.608 0.933
0.367 0.392 0.067
```

Summary:
electronic total energy: -0.2390 Ry per atom
energy relative to the lowest polymorph listed for this composition: 0.0000 eV per atom



Entry from Alexandria via LeMat-Bulk: a geometry-optimized HIF3 structure (PBE).

Cell and atoms, written as POSCAR:
```
HIF3
1.0
4.541 0.000 0.000
0.000 4.541 0.000
0.000 0.000 4.541
F I H
3 1 1
Direct
0.000 0.000 0.500
0.000 0.500 0.000
0.500 0.000 0.000
0.000 0.000 0.000
0.500 0.500 0.500
```

Summary:
electronic total energy: -0.1832 Ry per atom
energy relative to the lowest polymorph listed for this composition: 0.7594 eV per atom



Entry from Alexandria via LeMat-Bulk: a geometry-optimized H4I3F2 structure (PBE).

Cell and atoms, written as POSCAR:
```
H4I3F2
1.0
-1.123 -2.682 -4.718
0.271 -7.638 7.774
-9.027 -0.743 6.069
I H F
6 8 4
Direct
0.750 0.462 0.538
0.250 0.538 0.462
0.384 0.311 0.944
0.616 0.689 0.056
0.116 0.056 0.689
0.884 0.944 0.311
0.311 0.082 0.339
0.811 0.339 0.082
0.220 0.327 0.040
0.689 0.918 0.661
0.780 0.673 0.960
0.720 0.040 0.327
0.189 0.661 0.918
0.280 0.960 0.673
0.515 0.870 0.655
0.985 0.345 0.130
0.485 0.130 0.345
0.015 0.655 0.870
```

Summary:
electronic total energy: -0.2256 Ry per atom



Entry from Alexandria via LeMat-Bulk: a geometry-optimized HIF structure (PBE).

Cell and atoms, written as POSCAR:
```
HIF
1.0
4.380 0.000 0.000
0.000 6.642 -0.146
0.000 -0.406 9.612
F H I
4 4 4
Direct
0.711 0.989 0.190
0.211 0.011 0.310
0.789 0.989 0.690
0.289 0.011 0.810
0.589 0.998 0.738
0.411 0.002 0.262
0.089 0.002 0.762
0.911 0.998 0.238
0.823 0.502 0.878
0.323 0.498 0.622
0.677 0.502 0.378
0.177 0.498 0.122
```

Summary:
electronic total energy: -0.2420 Ry per atom
energy relative to the lowest polymorph listed for this composition: 0.0000 eV per atom



Entry from Alexandria via LeMat-Bulk: a geometry-optimized HIF3 structure (PBE).

Cell and atoms, written as POSCAR:
```
HIF3
1.0
3.811 0.000 0.000
0.000 3.811 0.000
0.000 0.000 3.811
H I F
1 1 3
Direct
0.000 0.000 0.000
0.500 0.500 0.500
0.000 0.000 0.500
0.500 0.000 0.000
0.000 0.500 0.000
```

Summary:
electronic total energy: -0.1742 Ry per atom
energy relative to the lowest polymorph listed for this composition: 0.8819 eV per atom



Entry from Alexandria via LeMat-Bulk: a geometry-optimized KHIF structure (PBE).

Cell and atoms, written as POSCAR:
```
KHIF
1.0
4.989 0.004 0.003
-2.496 4.170 -0.247
-0.002 -0.329 5.178
F K H I
1 1 1 1
Direct
0.229 0.457 0.936
0.898 0.796 0.821
0.304 0.607 0.101
0.524 0.049 0.382
```

Summary:
electronic total energy: -0.2571 Ry per atom



Entry from Alexandria via LeMat-Bulk: a geometry-optimized KHI2F12 structure (PBE).

Cell and atoms, written as POSCAR:
```
KHI2F12
1.0
8.844 -0.160 0.000
-2.503 8.484 0.000
-3.171 -4.162 7.132
F I K H
24 4 2 2
Direct
0.287 0.213 0.500
0.146 0.291 0.693
0.209 0.354 0.307
0.639 0.139 0.500
0.047 0.902 0.693
0.291 0.598 0.145
0.902 0.209 0.855
0.787 0.287 0.075
0.713 0.787 0.500
0.453 0.146 0.855
0.213 0.713 0.925
0.709 0.402 0.855
0.139 0.639 0.500
0.354 0.047 0.145
0.361 0.861 0.500
0.953 0.098 0.307
0.646 0.953 0.855
0.547 0.854 0.145
0.861 0.361 0.500
0.854 0.709 0.307
0.791 0.646 0.693
0.098 0.791 0.145
0.402 0.547 0.693
0.598 0.453 0.307
0.344 0.844 0.189
0.656 0.156 0.811
0.844 0.656 0.500
0.156 0.344 0.500
0.750 0.750 0.000
0.250 0.250 0.000
0.250 0.750 0.500
0.750 0.250 0.500
```

Summary:
electronic total energy: -0.2710 Ry per atom